Entry 1:
## Tb2Ag2Sn (PBE-GGA)

Data for Tb2Ag2Sn after structural relaxation.

Results
Space-group type: C2/c
Crystal system: monoclinic
N(E_F): 3.44 states/eV/f.u.
Energy of formation: -40 kJ per mole of atoms

a b c (Å): 6.603 7.728 11.230
angles (deg): 148.88 107.10 90.00
Atoms (fractional coordinates):
Tb1 0.086 0.002 0.351
Tb2 0.264 0.502 0.351
Tb3 0.914 0.998 0.649
Tb4 0.736 0.498 0.649
Ag1 0.554 0.348 0.794
Ag2 0.761 0.152 0.206
Ag3 0.446 0.652 0.206
Ag4 0.239 0.848 0.794
Sn1 0.276 0.750 0.000
Sn2 0.724 0.250 0.000

Entry 2:
## TbAg3Sn (PBE-GGA)

Data for TbAg3Sn after structural relaxation.

Results
Space-group type: Pmmn
Crystal system: orthorhombic
N(E_F): 1.48 states/eV/f.u.
Energy of formation: -22 kJ per mole of atoms

a b c (Å): 4.824 6.754 6.692
angles (deg): 90.01 90.00 90.00
Atoms (fractional coordinates):
Tb1 0.476 0.411 0.701
Tb2 0.976 0.941 0.201
Ag1 0.476 0.222 0.201
Ag2 0.476 0.928 0.904
Ag3 0.976 0.425 0.404
Ag4 0.976 0.131 0.701
Ag5 0.976 0.426 0.997
Ag6 0.476 0.927 0.497
Sn1 0.975 0.733 0.700
Sn2 0.475 0.620 0.200

Entry 3:
## Tb5Ag4Sn (PBE-GGA)

Data for Tb5Ag4Sn after structural relaxation.

Results
Space-group type: P4/mmm
Crystal system: tetragonal
N(E_F): 6.00 states/eV/f.u.
Energy of formation: -37 kJ per mole of atoms

a b c (Å): 3.595 3.595 19.213
angles (deg): 90.00 90.00 90.00
Atoms (fractional coordinates):
Tb1 0.500 0.500 0.109
Tb2 0.500 0.500 0.305
Tb3 0.500 0.500 0.500
Tb4 0.500 0.500 0.695
Tb5 0.500 0.500 0.891
Ag1 0.000 0.000 0.210
Ag2 0.000 0.000 0.402
Ag3 0.000 0.000 0.598
Ag4 0.000 0.000 0.790
Sn1 0.000 0.000 0.000

Entry 4:
## Tb2AgSn3 (PBE-GGA)

Data for Tb2AgSn3 after structural relaxation.

Results
Space-group type: Cmcm
Crystal system: orthorhombic
N(E_F): 3.28 states/eV/f.u.
Energy of formation: -26 kJ per mole of atoms

a b c (Å): 5.616 8.125 8.125
angles (deg): 114.72 90.00 90.00
Atoms (fractional coordinates):
Tb1 0.750 0.455 0.177
Tb2 0.250 0.545 0.823
Tb3 0.250 0.823 0.545
Tb4 0.750 0.177 0.455
Ag1 0.750 0.935 0.935
Ag2 0.250 0.065 0.065
Sn1 0.250 0.396 0.396
Sn2 0.750 0.604 0.604
Sn3 0.500 0.186 0.814
Sn4 0.000 0.186 0.814
Sn5 0.500 0.814 0.186
Sn6 0.000 0.814 0.186

Entry 5:
## Tb3AgSn3 (PBE-GGA)

Data for Tb3AgSn3 after structural relaxation.

Results
Space-group type: C2/m
Crystal system: monoclinic
N(E_F): 3.81 states/eV/f.u.
Energy of formation: -62 kJ per mole of atoms

a b c (Å): 4.597 6.149 14.261
angles (deg): 83.19 80.72 68.05
Atoms (fractional coordinates):
Tb1 0.531 0.320 0.618
Tb2 0.469 0.680 0.382
Tb3 0.267 0.242 0.225
Tb4 0.733 0.758 0.775
Tb5 0.401 0.275 0.922
Tb6 0.599 0.725 0.078
Ag1 0.768 0.075 0.388
Ag2 0.232 0.925 0.612
Sn1 0.865 0.719 0.550
Sn2 0.135 0.281 0.450
Sn3 0.128 0.818 0.925
Sn4 0.872 0.182 0.075
Sn5 0.986 0.797 0.230
Sn6 0.014 0.203 0.770

Entry 6:
## Tb7Ag2Sn2 (PBE-GGA)

Data for Tb7Ag2Sn2 after structural relaxation.

Results
Space-group type: Cmmm
Crystal system: orthorhombic
N(E_F): 11.89 states/eV/f.u.
Energy of formation: -11 kJ per mole of atoms

a b c (Å): 6.996 7.160 6.996
angles (deg): 89.99 107.55 90.01
Atoms (fractional coordinates):
Tb1 0.000 0.269 0.500
Tb2 0.500 0.731 0.000
Tb3 0.000 0.731 0.500
Tb4 0.500 0.269 0.000
Tb5 0.000 0.000 0.000
Tb6 0.500 0.751 0.500
Tb7 0.500 0.249 0.500
Ag1 0.714 0.000 0.286
Ag2 0.286 0.000 0.714
Sn1 0.822 0.500 0.822
Sn2 0.178 0.500 0.178

Entry 7:
## TbAgSn2 (PBE-GGA)

Data for TbAgSn2 after structural relaxation.

Results
Relative energy among the computed polymorphs: 154 meV/atom
Space-group type: R-3m
Crystal system: trigonal
N(E_F): 1.73 states/eV/f.u.
Energy of formation: -29 kJ per mole of atoms

a b c (Å): 4.665 4.665 5.957
angles (deg): 66.95 66.95 60.00
Atoms (fractional coordinates):
Tb1 0.000 0.000 0.000
Sn1 0.767 0.767 0.699
Sn2 0.233 0.233 0.301
Ag1 0.500 0.500 0.500

Entry 8:
## Tb5Ag2Sn (PBE-GGA)

Data for Tb5Ag2Sn after structural relaxation.

Results
Space-group type: I4/mcm
Crystal system: tetragonal
N(E_F): 9.10 states/eV/f.u.
Energy of formation: -35 kJ per mole of atoms

a b c (Å): 8.072 8.072 8.808
angles (deg): 117.27 117.27 90.00
Atoms (fractional coordinates):
Tb1 0.507 0.694 0.701
Tb2 0.806 0.993 0.299
Tb3 0.000 0.000 0.000
Tb4 0.500 0.500 0.000
Tb5 0.194 0.007 0.701
Tb6 0.694 0.194 0.701
Tb7 0.007 0.507 0.701
Tb8 0.306 0.806 0.299
Tb9 0.993 0.493 0.299
Tb10 0.493 0.306 0.299
Ag1 0.132 0.368 0.000
Ag2 0.632 0.132 0.000
Ag3 0.368 0.868 0.000
Ag4 0.868 0.632 0.000
Sn1 0.750 0.750 0.500
Sn2 0.250 0.250 0.500

Entry 9:
## TbAg6Sn6 (PBE-GGA)

Data for TbAg6Sn6 after structural relaxation.

Results
Space-group type: Immm
Crystal system: orthorhombic
N(E_F): 4.32 states/eV/f.u.
Energy of formation: -9 kJ per mole of atoms

a b c (Å): 5.894 7.647 7.647
angles (deg): 78.35 67.33 67.33
Atoms (fractional coordinates):
Tb1 0.000 0.000 0.000
Ag1 0.000 0.500 0.000
Ag2 0.500 0.500 0.000
Ag3 0.000 0.000 0.500
Ag4 0.500 0.000 0.500
Ag5 0.500 0.745 0.255
Ag6 0.500 0.255 0.745
Sn1 0.328 0.672 0.672
Sn2 0.672 0.328 0.328
Sn3 0.000 0.345 0.655
Sn4 0.000 0.655 0.345
Sn5 0.341 0.159 0.159
Sn6 0.659 0.841 0.841

Entry 10:
## Tb2Ag3Sn (PBE-GGA)

Data for Tb2Ag3Sn after structural relaxation.

Results
Space-group type: Fmmm
Crystal system: orthorhombic
N(E_F): 4.48 states/eV/f.u.
Energy of formation: -37 kJ per mole of atoms

a b c (Å): 5.929 5.929 9.634
angles (deg): 113.82 113.82 71.78
Atoms (fractional coordinates):
Tb1 0.750 0.250 0.500
Tb2 0.758 0.242 0.000
Tb3 0.250 0.750 0.500
Tb4 0.242 0.758 0.000
Ag1 0.834 0.834 0.165
Ag2 0.669 0.669 0.835
Ag3 0.166 0.166 0.835
Ag4 0.331 0.331 0.165
Ag5 0.167 0.167 0.333
Ag6 0.833 0.833 0.667
Sn1 0.665 0.665 0.330
Sn2 0.335 0.335 0.670

Entry 11:
## TbAg2Sn3 (PBE-GGA)

Data for TbAg2Sn3 after structural relaxation.

Results
Space-group type: Cmmm
Crystal system: orthorhombic
N(E_F): 2.82 states/eV/f.u.
Energy of formation: -24 kJ per mole of atoms

a b c (Å): 4.308 4.560 7.478
angles (deg): 107.75 90.00 90.00
Atoms (fractional coordinates):
Tb1 0.000 0.000 0.000
Ag1 0.000 0.672 0.344
Ag2 0.000 0.328 0.656
Sn1 0.500 0.173 0.345
Sn2 0.500 0.500 0.000
Sn3 0.500 0.827 0.655

Entry 12:
## Tb2Ag3Sn2 (PBE-GGA)

Data for Tb2Ag3Sn2 after structural relaxation.

Results
Space-group type: Cmmm
Crystal system: orthorhombic
N(E_F): 4.81 states/eV/f.u.
Energy of formation: -17 kJ per mole of atoms

a b c (Å): 4.006 4.197 10.537
angles (deg): 101.49 90.00 90.00
Atoms (fractional coordinates):
Tb1 0.000 0.845 0.690
Tb2 0.000 0.155 0.310
Ag1 0.500 0.565 0.130
Ag2 0.500 0.435 0.870
Ag3 0.000 0.000 0.000
Sn1 0.500 0.703 0.405
Sn2 0.500 0.297 0.595

Entry 13:
## Tb2AgSn2 (PBE-GGA)

Data for Tb2AgSn2 after structural relaxation.

Results
Space-group type: C2/m
Crystal system: monoclinic
N(E_F): 3.66 states/eV/f.u.
Energy of formation: -58 kJ per mole of atoms

a b c (Å): 4.626 6.134 10.060
angles (deg): 80.49 76.71 67.85
Atoms (fractional coordinates):
Tb1 0.320 0.259 0.102
Tb2 0.507 0.314 0.672
Tb3 0.680 0.741 0.898
Tb4 0.493 0.686 0.328
Ag1 0.788 0.084 0.341
Ag2 0.212 0.916 0.659
Sn1 0.962 0.190 0.886
Sn2 0.144 0.284 0.427
Sn3 0.038 0.810 0.114
Sn4 0.856 0.716 0.573

Entry 14:
## Tb2Ag3SnTe6 (PBE-GGA)

Data for Tb2Ag3SnTe6 after structural relaxation.

Results
Uncorrected formation energy: -0.608 eV/atom
Space-group type: C2/m
Crystal system: monoclinic
N(E_F): 3.32 states/eV/f.u.

a b c (Å): 4.306 8.386 10.367
angles (deg): 101.28 101.99 90.00
Atoms (fractional coordinates):
Tb1 0.823 0.687 0.647
Tb2 0.177 0.313 0.353
Ag1 0.500 0.500 0.000
Ag2 0.797 0.192 0.593
Ag3 0.203 0.808 0.407
Sn1 0.500 0.000 0.000
Te1 0.342 0.958 0.684
Te2 0.667 0.575 0.333
Te3 0.658 0.042 0.316
Te4 0.017 0.276 0.033
Te5 0.983 0.724 0.967
Te6 0.333 0.425 0.667

Entry 15:
## TbAgSnTe3 (PBE-GGA)

Data for TbAgSnTe3 after structural relaxation.

Results
Uncorrected formation energy: -0.669 eV/atom
Space-group type: P2_1/m
Crystal system: monoclinic

a b c (Å): 4.344 8.927 9.862
angles (deg): 104.36 90.00 90.00
Atoms (fractional coordinates):
Tb1 0.250 0.678 0.175
Tb2 0.750 0.322 0.825
Ag1 0.250 0.085 0.584
Ag2 0.750 0.915 0.416
Sn1 0.250 0.192 0.242
Sn2 0.750 0.808 0.758
Te1 0.750 0.908 0.127
Te2 0.250 0.092 0.873
Te3 0.250 0.741 0.497
Te4 0.750 0.259 0.503
Te5 0.750 0.425 0.154
Te6 0.250 0.575 0.846

Entry 16:
## TbAgSn2Te4 (PBE-GGA)

Data for TbAgSn2Te4 after structural relaxation.

Results
Uncorrected formation energy: -0.533 eV/atom
Space-group type: P2/m
Crystal system: monoclinic
N(E_F): 0.20 states/eV/f.u.

a b c (Å): 4.439 7.666 7.824
angles (deg): 109.81 90.00 90.00
Atoms (fractional coordinates):
Tb1 0.500 0.500 0.000
Ag1 0.000 0.000 0.000
Sn1 0.500 0.000 0.500
Sn2 0.000 0.500 0.500
Te1 0.500 0.242 0.234
Te2 0.500 0.758 0.766
Te3 0.000 0.255 0.757
Te4 0.000 0.745 0.243

Entry 17:
## TbAg2SnTe4 (PBE-GGA)

Data for TbAg2SnTe4 after structural relaxation.

Results
Uncorrected formation energy: -0.486 eV/atom
Space-group type: P2/m
Crystal system: monoclinic
N(E_F): 2.92 states/eV/f.u.

a b c (Å): 4.370 7.384 7.631
angles (deg): 70.29 90.00 90.00
Atoms (fractional coordinates):
Tb1 0.000 0.500 0.500
Ag1 0.000 0.000 0.000
Ag2 0.500 0.000 0.500
Sn1 0.500 0.500 0.000
Te1 0.000 0.762 0.747
Te2 0.000 0.238 0.253
Te3 0.500 0.757 0.247
Te4 0.500 0.243 0.753

Entry 18:
## TbThAgSn (PBE-GGA)

Data for TbThAgSn after structural relaxation.

Results
Space-group type: F-43m
Crystal system: cubic
N(E_F): 3.67 states/eV/f.u.
Energy of formation: -35 kJ per mole of atoms

a b c (Å): 5.328 5.328 5.328
angles (deg): 60.00 60.00 60.00
Atoms (fractional coordinates):
Ag1 0.250 0.250 0.250
Tb1 0.000 0.000 0.000
Sn1 0.750 0.750 0.750
Th1 0.500 0.500 0.500

Entry 19:
## Tb2ThAg2Sn2 (PBE-GGA)

Data for Tb2ThAg2Sn2 after structural relaxation.

Results
Space-group type: R-3m
Crystal system: trigonal
N(E_F): 4.04 states/eV/f.u.
Energy of formation: -33 kJ per mole of atoms

a b c (Å): 4.899 4.899 9.124
angles (deg): 74.43 74.43 60.00
Atoms (fractional coordinates):
Tb1 0.133 0.133 0.601
Tb2 0.867 0.867 0.399
Th1 0.000 0.000 0.000
Ag1 0.565 0.565 0.306
Ag2 0.435 0.435 0.694
Sn1 0.735 0.735 0.795
Sn2 0.265 0.265 0.205

Entry 20:
## TbTh2Ag2Sn2 (PBE-GGA)

Data for TbTh2Ag2Sn2 after structural relaxation.

Results
Space-group type: R-3m
Crystal system: trigonal
N(E_F): 7.49 states/eV/f.u.
Energy of formation: -19 kJ per mole of atoms

a b c (Å): 4.838 4.838 9.651
angles (deg): 75.48 75.48 60.00
Atoms (fractional coordinates):
Tb1 0.000 0.000 0.000
Th1 0.129 0.129 0.612
Th2 0.871 0.871 0.388
Ag1 0.601 0.601 0.198
Ag2 0.399 0.399 0.802
Sn1 0.734 0.734 0.799
Sn2 0.266 0.266 0.201

Entry 21:
## TbTmAgSn (PBE-GGA)

Data for TbTmAgSn after structural relaxation.

Results
Space-group type: F-43m
Crystal system: cubic
N(E_F): 3.82 states/eV/f.u.
Energy of formation: -48 kJ per mole of atoms

a b c (Å): 5.210 5.210 5.210
angles (deg): 60.00 60.00 60.00
Atoms (fractional coordinates):
Tm1 0.500 0.500 0.500
Tb1 0.000 0.000 0.000
Sn1 0.250 0.250 0.250
Ag1 0.750 0.750 0.750

Entry 22:
## TbYAgSn (PBE-GGA)

Data for TbYAgSn after structural relaxation.

Results
Space-group type: F-43m
Crystal system: cubic
N(E_F): 3.76 states/eV/f.u.
Energy of formation: -51 kJ per mole of atoms

a b c (Å): 5.245 5.245 5.245
angles (deg): 60.00 60.00 60.00
Each line ends with the local moment (μB).
Atoms (fractional coordinates):
Y1 0.750 0.750 0.750  0.10
Tb1 0.250 0.250 0.250  0.12
Sn1 0.000 0.000 0.000  -0.01
Ag1 0.500 0.500 0.500  0.01

Entry 23:
## TbZnAgSn (PBE-GGA)

Data for TbZnAgSn after structural relaxation.

Results
Space-group type: F-43m
Crystal system: cubic
N(E_F): 1.94 states/eV/f.u.
Energy of formation: -30 kJ per mole of atoms

a b c (Å): 4.957 4.957 4.957
angles (deg): 60.00 60.00 60.00
Atoms (fractional coordinates):
Zn1 0.250 0.250 0.250
Tb1 0.000 0.000 0.000
Sn1 0.500 0.500 0.500
Ag1 0.750 0.750 0.750

Entry 24:
## TbZrAgSn (PBE-GGA)

Data for TbZrAgSn after structural relaxation.

Results
Space-group type: F-43m
Crystal system: cubic
N(E_F): 2.92 states/eV/f.u.
Energy of formation: -32 kJ per mole of atoms

a b c (Å): 5.083 5.083 5.083
angles (deg): 60.00 60.00 60.00
Atoms (fractional coordinates):
Zr1 0.500 0.500 0.500
Tb1 0.000 0.000 0.000
Sn1 0.250 0.250 0.250
Ag1 0.750 0.750 0.750